CaPm2GeO6 | PBE | optimized geometry

Summary:
total energy: -7.286 eV/atom
magnetic moment: 0.00 μB per atom
ΔE_f (raw): -2.699 eV/atom
space-group type: No. 99

Cell lengths 5.043, 5.421, 5.421 Å; angles 90.00, 90.00, 90.00 degrees
Atoms (fractional coordinates):
1 Ca 0.562 0.500 0.500
2 Pm 0.996 0.500 0.000
3 Pm 0.996 0.000 0.500
4 Ge 0.604 0.000 0.000
5 O 0.729 0.230 0.230
6 O 0.729 0.230 0.770
7 O 0.125 0.500 0.500
8 O 0.247 0.000 0.000
9 O 0.729 0.770 0.770
10 O 0.729 0.770 0.230